No. 1
KAlSb2: optimized geometry, PBE.

Cell: 4.753 4.753 9.762 Å, 90.00 90.00 90.00°
Space group I-4m2 (No. 119)
Unique sites:
K: 0.000 0.000 0.000
Al: 0.000 0.500 0.250
Sb: 0.000 0.000 0.500
Sb: 0.000 0.500 0.750

Calculated values
Raw total energy   -3.113 eV per atom
ΔE_f (raw)   0.1584 eV/atom
Mass density   4.66 g/cm3

No. 2
KAl3Sb: optimized geometry, PBE.

Cell: 5.643 5.643 5.643 Å, 90.00 90.00 90.00°
Space group Pm-3m (No. 221)
Unique sites:
K: 0.000 0.000 0.000
Al: 0.000 0.000 0.500
Sb: 0.500 0.500 0.500

Calculated values
Raw total energy   -1.835 eV per atom
ΔE_f (raw)   1.4547 eV/atom
Mass density   2.23 g/cm3
Polymorph energy (0 for the lowest one)   823 meV per atom

No. 3
KAlSb2: optimized geometry, PBE.

Cell: 3.235 3.235 11.127 Å, 90.00 90.00 90.00°
Space group P4mm (No. 99)
Unique sites:
K: 0.000 0.000 0.000
Al: 0.500 0.500 0.748
Sb: 0.000 0.000 0.567
Sb: 0.500 0.500 0.260

Calculated values
Raw total energy   -3.124 eV per atom
ΔE_f (raw)   0.1473 eV/atom
Mass density   4.41 g/cm3

No. 4
KAlSb2: optimized geometry, PBE.

Cell: 6.452 6.046 15.849 Å, 90.00 91.96 90.00°
Space group P2/c (No. 13)
Unique sites:
K: 0.058 0.124 0.373
Al: 0.497 0.473 0.623
Sb: 0.233 0.374 0.747
Sb: 0.399 0.210 0.006

Calculated values
Raw total energy   -3.458 eV per atom
ΔE_f (raw)   -0.1864 eV/atom
Mass density   3.33 g/cm3

No. 5
K4AlSb: optimized geometry, PBE.

Cell: 9.950 9.950 9.950 Å, 90.00 90.00 90.00°
Space group F-43m (No. 216)
Unique sites:
K: 0.124 0.124 0.124
Al: 0.000 0.000 0.500
Sb: 0.250 0.250 0.750

Calculated values
Raw total energy   -1.679 eV per atom
ΔE_f (raw)   0.3640 eV/atom
Mass density   2.06 g/cm3

No. 6
KAl2Sb: optimized geometry, PBE.

Cell: 4.764 4.764 9.143 Å, 90.00 90.00 90.00°
Space group I-4m2 (No. 119)
Unique sites:
K: 0.000 0.000 0.000
Al: 0.000 0.000 0.500
Al: 0.000 0.500 0.250
Sb: 0.000 0.500 0.750

Calculated values
Raw total energy   -2.885 eV per atom
ΔE_f (raw)   0.2913 eV/atom
Mass density   3.44 g/cm3

No. 7
K2AlSb: optimized geometry, PBE.

Cell: 4.294 5.816 11.684 Å, 90.00 90.00 90.00°
Space group Imm2 (No. 44)
Unique sites:
K: 0.000 0.000 0.000
K: 0.000 0.500 0.188
Al: 0.000 0.000 0.412
Sb: 0.000 0.500 0.769

Calculated values
Raw total energy   -2.707 eV per atom
ΔE_f (raw)   -0.1921 eV/atom
Mass density   2.58 g/cm3
Polymorph energy (0 for the lowest one)   16 meV per atom

No. 8
KAl2Sb: optimized geometry, PBE.

Cell: 10.252 3.106 7.034 Å, 90.00 95.30 90.00°
Space group C2/m (No. 12)
Unique sites:
K: 0.000 0.000 0.000
Al: 0.247 0.000 0.672
Sb: 0.000 0.500 0.500

Calculated values
Raw total energy   -3.008 eV per atom
ΔE_f (raw)   0.1678 eV/atom
Mass density   3.20 g/cm3

No. 9
K2AlSb: optimized geometry, PBE.

Cell: 5.872 5.872 3.998 Å, 90.00 90.00 90.00°
Space group P4/mmm (No. 123)
Unique sites:
K: 0.000 0.500 0.000
Al: 0.000 0.000 0.500
Sb: 0.500 0.500 0.500

Calculated values
Raw total energy   -2.382 eV per atom
ΔE_f (raw)   0.1327 eV/atom
Mass density   2.73 g/cm3
Polymorph energy (0 for the lowest one)   341 meV per atom

No. 10
KAl2Sb: optimized geometry, PBE.

Cell: 6.313 10.869 3.036 Å, 90.00 90.00 90.00°
Space group Cmmm (No. 65)
Unique sites:
K: 0.000 0.000 0.000
Al: 0.250 0.250 0.500
Sb: 0.000 0.500 0.000

Calculated values
Raw total energy   -2.841 eV per atom
ΔE_f (raw)   0.3348 eV/atom
Mass density   3.43 g/cm3

No. 11
KAlSb2: optimized geometry, PBE.

Cell: 7.732 7.732 7.732 Å, 90.00 90.00 90.00°
Space group F-43m (No. 216)
Unique sites:
K: 0.000 0.000 0.000
Al: 0.250 0.250 0.750
Sb: 0.000 0.000 0.500
Sb: 0.250 0.250 0.250

Calculated values
Raw total energy   -3.037 eV per atom
ΔE_f (raw)   0.2342 eV/atom
Mass density   4.45 g/cm3

No. 12
KAl2Sb: optimized geometry, PBE.

Cell: 4.617 4.617 4.718 Å, 90.00 90.00 90.00°
Space group P4/mmm (No. 123)
Unique sites:
K: 0.000 0.000 0.000
Al: 0.000 0.500 0.500
Sb: 0.500 0.500 0.000

Calculated values
Raw total energy   -2.931 eV per atom
ΔE_f (raw)   0.2457 eV/atom
Mass density   3.55 g/cm3